The following is a PBE calculation of a geometry-optimized BaPtO structure, from Alexandria.

Computed properties:
Uncorrected formation energy: -1.306 eV per atom
Size of the total moment: 0.000 μB/atom
Space-group type: Imma, No. 74

Unit cell a=6.7982 b=4.0962 c=6.7984 alpha=107.53 beta=99.38 gamma=107.53
Fractional positions:
Pt: 0.1092 0.8785 0.3244
Ba: 0.5445 0.6284 0.3891
Ba: 0.0446 0.1284 0.8890
O: 0.3069 0.8780 0.1266
O: 0.7821 0.3779 0.6514
Pt: 0.9799 0.3785 0.4537